[1]
Material: BaSr2GaO
Method: DFT, GGA-PBE
State: optimized geometry

POSCAR file:
```
BaSr2GaO
1.0
-3.6544 2.3601 -2.7555
-2.0827 -4.5670 -1.1496
-3.1941 0.3210 4.5111
Ga O Sr Ba
1 1 2 1
direct
0.5000 0.5000 0.5000 Ga
0.0000 0.0000 0.0000 O
0.5000 0.0000 0.0000 Sr
0.0000 0.5000 0.0000 Sr
0.0000 0.0000 0.5000 Ba
```

Output
density = 4.50 Mg/m³
energy = -19.18 eV per formula unit

[2]
Material: Bi2Te2N
Method: DFT, GGA-PBE
State: optimized geometry

POSCAR file:
```
Bi2Te2N
1.0
-3.5087 3.0201 -0.6882
-1.8121 -1.1580 4.1571
1.4719 6.4955 5.0857
Te Bi N
2 2 1
direct
0.5925 0.5925 0.8150 Te
0.4075 0.4075 0.1850 Te
0.7500 0.2500 0.5000 Bi
0.2500 0.7500 0.5000 Bi
0.0000 0.0000 0.0000 N
```

Output
density = 6.77 Mg/m³
energy = -16.77 eV per formula unit

[3]
Material: TbPr2Dy
Method: DFT, GGA-PBE
State: optimized geometry

POSCAR file:
```
TbPr2Dy
1.0
-2.2942 -12.1756 -1.3021
4.4767 10.3858 -5.2248
11.6766 -2.6450 4.9419
Pr Tb Dy
16 8 8
direct
0.7498 0.7503 0.9999 Pr
0.5207 0.4793 0.7500 Pr
0.2498 0.7496 0.0002 Pr
0.7496 0.2498 0.5002 Pr
0.4794 0.0209 0.2499 Pr
0.0209 0.4794 0.7499 Pr
0.7502 0.2504 0.9998 Pr
0.9789 0.0211 0.2500 Pr
0.2504 0.7502 0.4998 Pr
0.7503 0.7498 0.4999 Pr
0.5206 0.9791 0.7501 Pr
0.4793 0.5207 0.2500 Pr
0.2502 0.2497 0.0001 Pr
0.0211 0.9789 0.7500 Pr
0.2497 0.2502 0.5001 Pr
0.9791 0.5206 0.2501 Pr
0.8785 0.6085 0.8835 Tb
0.1084 0.8787 0.3839 Tb
0.3915 0.1215 0.6165 Tb
0.1213 0.8916 0.1161 Tb
0.8787 0.1084 0.8839 Tb
0.1215 0.3915 0.1165 Tb
0.8916 0.1213 0.6161 Tb
0.6085 0.8785 0.3835 Tb
0.3786 0.6087 0.8840 Dy
0.6211 0.8913 0.1154 Dy
0.3789 0.1087 0.8846 Dy
0.1087 0.3789 0.3846 Dy
0.6214 0.3913 0.1160 Dy
0.6087 0.3786 0.3840 Dy
0.3913 0.6214 0.6160 Dy
0.8913 0.6211 0.6154 Dy
```

Output
density = 7.29 Mg/m³
energy = -18.39 eV per formula unit
energy of formation = 0.10 eV/atom

[4]
Material: K2RbPaF8
Method: DFT, GGA-PBE
State: optimized geometry

POSCAR file:
```
K2RbPaF8
1.0
6.0568 0.0000 0.0000
0.0000 6.0568 0.0000
-3.0284 -3.0284 6.1252
F K Pa Rb
8 2 1 1
direct
0.9343 0.4297 0.2896 F
0.5703 0.0657 0.7104 F
0.3553 0.4297 0.2896 F
0.9343 0.8599 0.2896 F
0.1401 0.6447 0.7104 F
0.1401 0.0657 0.7104 F
0.5703 0.6447 0.7104 F
0.3553 0.8599 0.2896 F
0.7500 0.2500 0.5000 K
0.0000 0.0000 0.0000 K
0.2500 0.7500 0.5000 Pa
0.5000 0.5000 0.0000 Rb
```

Output
density = 4.04 Mg/m³
energy = -68.66 eV per formula unit

[5]
Material: Pm2CuNi3P4
Method: DFT, GGA-PBE
State: optimized geometry

POSCAR file:
```
Pm2CuNi3P4
1.0
4.0604 0.0000 0.0000
0.0000 4.0604 0.0000
0.0000 0.0000 9.2026
Ni Pm P Cu
3 2 4 1
direct
0.0000 0.5000 0.1128 Ni
0.0000 0.0000 0.5000 Ni
0.5000 0.0000 0.8872 Ni
0.0000 0.5000 0.7540 Pm
0.5000 0.0000 0.2460 Pm
0.0000 0.0000 0.0000 P
0.5000 0.5000 0.0000 P
0.5000 0.0000 0.6344 P
0.0000 0.5000 0.3656 P
0.5000 0.5000 0.5000 Cu
```

Output
density = 7.15 Mg/m³
energy = -61.90 eV per formula unit
energy of formation = -0.93 eV/atom

[6]
Material: GaSi3Bi
Method: DFT, GGA-PBE
State: optimized geometry

POSCAR file:
```
GaSi3Bi
1.0
4.8413 0.0000 0.0000
0.0000 4.8413 0.0000
0.0000 0.0000 4.8413
Bi Ga Si
1 1 3
direct
0.5000 0.5000 0.5000 Bi
0.0000 0.0000 0.0000 Ga
0.0000 0.0000 0.5000 Si
0.0000 0.5000 0.0000 Si
0.5000 0.0000 0.0000 Si
```

Output
density = 5.31 Mg/m³
energy = -19.16 eV per formula unit